Version one
Computed, not measured: a geometry-optimized TbScZnCd structure at the PBE level of DFT.

Computed properties:
Space group: P4mm (99)
V, Å³/atom: 22.48
DOS at the Fermi energy, states/eV per cell: 3.3
ρ, g/cm3: 7.0

Unit cell a=3.4910 b=3.4910 c=7.3793 alpha=90.00 beta=90.00 gamma=90.00
Atoms (fractional coordinates):
Tb: 0.0000 0.0000 0.0000
Sc: 0.0000 0.0000 0.5413
Zn: 0.5000 0.5000 0.7450
Cd: 0.5000 0.5000 0.2928

Version two
Computed, not measured: a geometry-optimized TbScZnCd structure at the PBE level of DFT.

Computed properties:
Space group: F-43m (216)
V, Å³/atom: 22.75
DOS at the Fermi energy, states/eV per cell: 3.8
ρ, g/cm3: 7.0

Unit cell a=5.0489 b=5.0489 c=5.0489 alpha=60.00 beta=60.00 gamma=60.00
Atoms (fractional coordinates):
Tb: 0.0000 0.0000 0.0000
Sc: 0.5000 0.5000 0.5000
Zn: 0.7500 0.7500 0.7500
Cd: 0.2500 0.2500 0.2500

Relative energy table, unit kJ/mol of atoms: version one 0.0; version two 2.7

Version one
Computed, not measured: a geometry-optimized ScCd3Tc structure at the PBE level of DFT.

Computed properties:
Space group: Pm-3m (221)
V, Å³/atom: 31.04
DOS at the Fermi energy, states/eV per cell: 4.4
ρ, g/cm3: 5.1

Unit cell a=5.3737 b=5.3737 c=5.3737 alpha=90.00 beta=90.00 gamma=90.00
Atoms (fractional coordinates):
Sc: 0.0000 0.0000 0.0000
Cd: 0.0000 0.0000 0.5000
Cd: 0.0000 0.5000 0.0000
Cd: 0.5000 0.0000 0.0000
Tc: 0.5000 0.5000 0.5000

Version two
Computed, not measured: a geometry-optimized ScCd3Tc structure at the PBE level of DFT.

Computed properties:
Space group: Pm-3m (221)
V, Å³/atom: 26.67
DOS at the Fermi energy, states/eV per cell: 2.7
ρ, g/cm3: 6.0

Unit cell a=5.1092 b=5.1092 c=5.1092 alpha=90.00 beta=90.00 gamma=90.00
Atoms (fractional coordinates):
Sc: 0.0000 0.0000 0.0000
Cd: 0.0000 0.5000 0.5000
Cd: 0.5000 0.0000 0.5000
Cd: 0.5000 0.5000 0.0000
Tc: 0.5000 0.5000 0.5000

Relative energy table, unit kJ/mol of atoms: version one 67.0; version two 0.0